# YTlPO2

Crystalline YTlPO2 at its relaxed geometry (PBE, Alexandria).

Unit cell a=4.2524 b=4.2524 c=5.1060 alpha=90.00 beta=90.00 gamma=90.00
Positions (direct):
Y1 0.0000 0.0000 0.0000
Tl1 0.5000 0.5000 0.5000
P1 0.5000 0.5000 0.0000
O1 0.0000 0.5000 0.5000
O2 0.5000 0.0000 0.5000

Properties
- density of states at the Fermi level (states/eV per cell) = 3.95
- symmetry = No. 123
- E_form (uncorrected) (meV per atom) = -491
- M_tot (μB/atom) = 0.000